Computed, not measured: an optimized crystal structure of YUZn at the GGA-PBE level of DFT.

POSCAR file:
```
YUZn
1.0
4.7413 -0.8234 0.6509
1.5076 -4.2890 1.7068
2.3521 -3.0847 -2.9212
Zn Y U
1 1 1
Direct
0.7500 0.7500 0.7500 Zn
0.5000 0.5000 0.5000 Y
0.0000 0.0000 0.0000 U
```

Results
E_form: 0.650 eV per atom
Size of the total moment: 3.2 μB/f.u.
Space group: No. 216


Computed, not measured: an optimized crystal structure of AgBiBrO2 at the GGA-PBE level of DFT.

POSCAR file:
```
AgBiBrO2
1.0
6.4531 0.0000 0.0000
0.0000 4.2367 0.0000
-1.5307 0.0000 7.2879
Bi Ag O Br
2 2 4 2
Direct
0.3327 0.7500 0.1083 Bi
0.6673 0.2500 0.8917 Bi
0.3342 0.7500 0.5783 Ag
0.6658 0.2500 0.4217 Ag
0.5513 0.7500 0.9178 O
0.5617 0.7500 0.3892 O
0.4383 0.2500 0.6108 O
0.4487 0.2500 0.0822 O
0.9973 0.2500 0.2732 Br
0.0027 0.7500 0.7268 Br
```

Results
Space group: No. 11
E: -43.35 eV for the cell shown


Computed, not measured: an optimized crystal structure of Pr3CuGeS7 at the GGA-PBE level of DFT.

POSCAR file:
```
Pr3CuGeS7
1.0
-7.7585 -2.6733 6.1483
-1.3784 0.3076 -10.1559
1.6314 -5.6365 -0.3921
S Ge Pr Cu
14 2 6 2
Direct
0.8954 0.4163 0.9856 S
0.3334 0.6667 0.9581 S
0.4792 0.8954 0.4856 S
0.0903 0.2519 0.2334 S
0.6666 0.3333 0.4581 S
0.5837 0.4791 0.9856 S
0.8384 0.0903 0.7334 S
0.1046 0.5837 0.4856 S
0.1616 0.9097 0.2334 S
0.9097 0.7481 0.7334 S
0.4163 0.5209 0.4856 S
0.5208 0.1046 0.9856 S
0.7481 0.8384 0.2334 S
0.2519 0.1616 0.7334 S
0.6666 0.3333 0.8319 Ge
0.3334 0.6667 0.3319 Ge
0.8725 0.6435 0.2506 Pr
0.3565 0.2290 0.2506 Pr
0.7710 0.1275 0.2506 Pr
0.2290 0.8725 0.7506 Pr
0.6435 0.7710 0.7506 Pr
0.1275 0.3565 0.7506 Pr
0.0000 0.0000 0.7216 Cu
0.0000 0.0000 0.2216 Cu
```

Results
Size of the total moment: 0.0 μB/f.u.
Space group: No. 173
E: -138.32 eV for the cell shown


Computed, not measured: an optimized crystal structure of Ho3Ge13Ir4 at the GGA-PBE level of DFT.

POSCAR file:
```
Ho3Ge13Ir4
1.0
-8.3859 -2.9002 -1.6256
2.9794 -8.5128 -0.1823
-1.4754 -0.7064 8.8714
Ge Ho Ir
26 6 8
Direct
0.5000 0.1920 0.6445 Ge
0.8080 0.6445 0.5000 Ge
0.0000 0.1445 0.3080 Ge
0.3555 0.5000 0.1920 Ge
0.1920 0.3555 0.5000 Ge
0.6920 0.0000 0.8555 Ge
0.3555 0.5000 0.8080 Ge
0.6445 0.5000 0.1920 Ge
0.0000 0.8555 0.3080 Ge
0.6445 0.5000 0.8080 Ge
0.5000 0.1920 0.3555 Ge
0.3080 0.0000 0.1445 Ge
0.0000 0.0000 0.0000 Ge
0.1920 0.6445 0.5000 Ge
0.5000 0.8080 0.6445 Ge
0.8555 0.3080 0.0000 Ge
0.8555 0.6920 0.0000 Ge
0.3080 0.0000 0.8555 Ge
0.8080 0.3555 0.5000 Ge
0.0000 0.1445 0.6920 Ge
0.0000 0.8555 0.6920 Ge
0.5000 0.8080 0.3555 Ge
0.6920 0.0000 0.1445 Ge
0.5000 0.5000 0.5000 Ge
0.1445 0.6920 0.0000 Ge
0.1445 0.3080 0.0000 Ge
0.0000 0.5000 0.7500 Ho
0.5000 0.2500 0.0000 Ho
0.0000 0.5000 0.2500 Ho
0.7500 0.0000 0.5000 Ho
0.5000 0.7500 0.0000 Ho
0.2500 0.0000 0.5000 Ho
0.7500 0.7500 0.2500 Ir
0.7500 0.2500 0.7500 Ir
0.2500 0.7500 0.2500 Ir
0.7500 0.2500 0.2500 Ir
0.2500 0.2500 0.2500 Ir
0.7500 0.7500 0.7500 Ir
0.2500 0.2500 0.7500 Ir
0.2500 0.7500 0.7500 Ir
```

Results
Size of the total moment: 0.0 μB/f.u.
Space group: No. 223
E: -238.69 eV for the cell shown


Number 1: density 8046 kg/m³. Number 2: density 7146 kg/m³. Number 3: density 4858 kg/m³. Number 4: density 9989 kg/m³.